1.
YCoSe2: relaxed, PBE.

Cell: 4.671 4.671 3.515 Å, 90.00 90.00 90.00°
Element x y z (fractional)
Y  0.000  0.000  0.000
Co  0.500  0.500  0.000
Se  0.000  0.500  0.500
Se  0.500  0.000  0.500

Calculated values
volume = 19.17 Å³/atom
symmetry = P4/mmm (123)
raw formation energy = -0.66 eV/atom


2.
Ho2ScIn9: relaxed, PBE.

Cell: 4.596 4.596 13.771 Å, 90.00 90.00 90.00°
Element x y z (fractional)
Ho  0.000  0.000  0.169
Ho  0.000  0.000  0.831
Sc  0.000  0.000  0.500
In  0.000  0.500  0.000
In  0.000  0.500  0.338
In  0.000  0.500  0.662
In  0.500  0.000  0.000
In  0.500  0.000  0.338
In  0.500  0.000  0.662
In  0.500  0.500  0.168
In  0.500  0.500  0.500
In  0.500  0.500  0.832

Calculated values
energy relative to the elements = -0.3672 eV/atom
volume = 24.24 Å³/atom
symmetry = P4/mmm (123)


3.
Ca3Zn: relaxed, PBE.

Cell: 6.346 6.346 6.346 Å, 133.64 133.64 67.65°
Element x y z (fractional)
Ca  0.000  0.000  0.000
Ca  0.250  0.750  0.500
Ca  0.750  0.250  0.500
Zn  0.500  0.500  0.000

Calculated values
energy above the lowest structure with this stoichiometry = 161.8 meV/atom
energy relative to the elements = 0.0351 eV/atom
volume = 32.89 Å³/atom
symmetry = I4/mmm (139)


4.
HoTh2Te5: relaxed, PBE.

Cell: 7.635 7.635 14.930 Å, 90.00 90.00 132.07°
Element x y z (fractional)
Ho  0.216  0.784  0.750
Ho  0.784  0.216  0.250
Th  0.160  0.840  0.054
Th  0.160  0.840  0.446
Th  0.840  0.160  0.554
Th  0.840  0.160  0.946
Te  0.049  0.951  0.624
Te  0.049  0.951  0.876
Te  0.254  0.746  0.250
Te  0.343  0.657  0.577
Te  0.343  0.657  0.923
Te  0.657  0.343  0.077
Te  0.657  0.343  0.423
Te  0.746  0.254  0.750
Te  0.951  0.049  0.124
Te  0.951  0.049  0.376

Calculated values
energy above the lowest structure with this stoichiometry = 0.0 meV/atom
volume = 40.38 Å³/atom
symmetry = Cmcm (63)
raw formation energy = -1.16 eV/atom